(1)
! PmNd2YS6 (GGA-PBE, optimized geometry); values from VASP
! Space-group type: R3
! ΔE_f (raw): -2.03 eV per atom
! DOS at the Fermi energy: 0.00 states/eV/f.u.
! Calculated total energy: -65.781 eV/cell
&SYSTEM
  ibrav = 0, nat = 10, ntyp = 4
/
ATOMIC_SPECIES
Nd 144.24 Nd.upf
Y 88.91 Y.upf
S 32.06 S.upf
Pm 145.00 Pm.upf
ATOMIC_POSITIONS crystal
Nd 0.0198 0.0198 0.9406
Nd 0.5219 0.5218 0.4345
Y 0.3164 0.3163 0.0509
S 0.7047 0.1179 0.7561
S 0.4213 0.7047 0.7561
S 0.1179 0.4214 0.7561
S 0.6073 0.2074 0.2538
S 0.2073 0.9315 0.2538
S 0.9315 0.6073 0.2538
Pm 0.8135 0.8135 0.5594
CELL_PARAMETERS angstrom
-6.4841 2.4543 1.6125
-5.7830 -3.6097 -2.0479
-3.9760 -3.6124 5.2229

=====

(2)
! GeB2H6 (GGA-PBE, optimized geometry); values from VASP
! Energy relative to the lowest polymorph listed for this composition: 1255 meV per atom
! Space-group type: Fm-3m
! DOS at the Fermi energy: 2.47 states/eV/f.u.
! Calculated total energy: -25.401 eV/cell
&SYSTEM
  ibrav = 0, nat = 9, ntyp = 3
/
ATOMIC_SPECIES
H 1.01 H.upf
B 10.81 B.upf
Ge 72.64 Ge.upf
ATOMIC_POSITIONS crystal
H 0.7302 0.7302 0.2698
H 0.2698 0.7302 0.7302
H 0.2698 0.7302 0.2698
H 0.2698 0.2698 0.7302
H 0.7302 0.2698 0.2698
H 0.7302 0.2698 0.7302
B 0.2500 0.2500 0.2500
B 0.7500 0.7500 0.7500
Ge 0.0000 0.0000 0.0000
CELL_PARAMETERS angstrom
3.8908 0.0000 2.2464
1.2969 3.6683 2.2464
0.0000 0.0000 4.4927

=====

(3)
! SmDyI (GGA-PBE, optimized geometry); values from VASP
! Energy relative to the lowest polymorph listed for this composition: 17 meV per atom
! Space-group type: P3m1
! ΔE_f (raw): -0.53 eV per atom
! DOS at the Fermi energy: 3.74 states/eV/f.u.
! Calculated total energy: -12.454 eV/cell
&SYSTEM
  ibrav = 0, nat = 3, ntyp = 3
/
ATOMIC_SPECIES
Dy 162.50 Dy.upf
I 126.90 I.upf
Sm 150.36 Sm.upf
ATOMIC_POSITIONS crystal
Dy 0.3333 0.6667 0.6560
I 0.6667 0.3333 0.3372
Sm 0.0000 0.0000 0.0068
CELL_PARAMETERS angstrom
-0.7969 0.2555 3.7691
-1.9534 -2.4803 -2.2223
5.2010 -5.4100 1.4664

=====

(4)
! Tb3MgHg4 (GGA-PBE, optimized geometry); values from VASP
! ΔH_f (0 K): -468 meV per atom
! Space-group type: R-3m
! DOS at the Fermi energy: 4.20 states/eV/f.u.
! Calculated total energy: -20.437 eV/cell
&SYSTEM
  ibrav = 0, nat = 8, ntyp = 3
/
ATOMIC_SPECIES
Mg 24.30 Mg.upf
Tb 158.93 Tb.upf
Hg 200.59 Hg.upf
ATOMIC_POSITIONS crystal
Mg 0.0000 0.0000 0.0000
Tb 0.5000 0.5000 0.5000
Tb 0.7451 0.7451 0.7648
Tb 0.2549 0.2549 0.2352
Hg 0.3753 0.3753 0.8741
Hg 0.1265 0.1265 0.6206
Hg 0.8735 0.8735 0.3794
Hg 0.6247 0.6247 0.1259
CELL_PARAMETERS angstrom
1.2045 -3.6731 3.4347
2.5327 -4.2406 -1.5305
8.7322 1.2719 2.1906

=====

(5)
! CeNd2Er (GGA-PBE, optimized geometry); values from VASP
! Energy relative to the lowest polymorph listed for this composition: 0 meV per atom
! ΔH_f (0 K): 69 meV per atom
! Space-group type: P4/mmm
! DOS at the Fermi energy: 8.20 states/eV/f.u.
! Calculated total energy: -19.757 eV/cell
&SYSTEM
  ibrav = 0, nat = 4, ntyp = 3
/
ATOMIC_SPECIES
Ce 140.12 Ce.upf
Nd 144.24 Nd.upf
Er 167.26 Er.upf
ATOMIC_POSITIONS crystal
Ce 0.5000 0.5000 0.5000
Nd 0.0000 0.0000 0.7463
Nd 0.0000 0.0000 0.2537
Er 0.5000 0.5000 0.0000
CELL_PARAMETERS angstrom
-2.5009 -2.3856 -0.9022
-0.0934 -1.1770 3.3712
-7.2929 6.8211 2.1795

=====

(6)
! Ag4TeAu4 (GGA-PBE, optimized geometry); values from VASP
! Space-group type: I4/mmm
! ΔE_f (raw): 0.01 eV per atom
! DOS at the Fermi energy: 2.59 states/eV/f.u.
! Calculated total energy: -27.565 eV/cell
&SYSTEM
  ibrav = 0, nat = 9, ntyp = 3
/
ATOMIC_SPECIES
Ag 107.87 Ag.upf
Au 196.97 Au.upf
Te 127.60 Te.upf
ATOMIC_POSITIONS crystal
Ag 0.3274 0.0000 0.3451
Ag 0.6726 0.0000 0.6549
Ag 0.6725 0.6549 0.0000
Ag 0.3275 0.3451 0.0000
Au 0.6633 0.3367 0.3367
Au 0.0000 0.6633 0.3367
Au 0.0000 0.3367 0.6633
Au 0.3367 0.6633 0.6633
Te 0.0000 0.0000 0.0000
CELL_PARAMETERS angstrom
-2.9103 2.5550 -1.7955
-5.8122 -3.2819 -0.3236
-3.0293 3.5016 4.8187

=====

(7)
! BaCaSbH (GGA-PBE, optimized geometry); values from VASP
! Space-group type: P6_3mc
! DOS at the Fermi energy: 0.00 states/eV/f.u.
! Calculated total energy: -29.259 eV/cell
&SYSTEM
  ibrav = 0, nat = 8, ntyp = 4
/
ATOMIC_SPECIES
Ca 40.08 Ca.upf
Sb 121.76 Sb.upf
Ba 137.33 Ba.upf
H 1.01 H.upf
ATOMIC_POSITIONS crystal
Ca 0.0000 0.0000 0.6700
Ca 0.0000 0.0000 0.1700
Sb 0.3333 0.6667 0.2424
Sb 0.6667 0.3333 0.7424
Ba 0.6667 0.3333 0.4234
Ba 0.3333 0.6667 0.9234
H 0.0000 0.0000 0.9766
H 0.0000 0.0000 0.4766
CELL_PARAMETERS angstrom
-1.6571 0.7941 4.7729
4.9181 -1.1192 -0.8464
2.4003 11.3444 -1.0541

=====

(8)
! TcP2RhCl (GGA-PBE, optimized geometry); values from VASP
! Energy relative to the lowest polymorph listed for this composition: 0 meV per atom
! Space-group type: P4/mmm
! ΔE_f (raw): 0.77 eV per atom
! DOS at the Fermi energy: 5.12 states/eV/f.u.
! Calculated total energy: -26.519 eV/cell
&SYSTEM
  ibrav = 0, nat = 5, ntyp = 4
/
ATOMIC_SPECIES
Rh 102.91 Rh.upf
P 30.97 P.upf
Cl 35.45 Cl.upf
Tc 98.00 Tc.upf
ATOMIC_POSITIONS crystal
Rh 0.5000 0.5000 0.5000
P 0.0000 0.5000 0.0000
P 0.5000 0.0000 0.0000
Cl 0.0000 0.0000 0.5000
Tc 0.0000 0.0000 0.0000
CELL_PARAMETERS angstrom
4.5041 0.0000 0.0000
0.0000 4.5041 0.0000
0.0000 0.0000 4.9520

=====

(9)
! SiPt2C (GGA-PBE, optimized geometry); values from VASP
! Energy relative to the lowest polymorph listed for this composition: 0 meV per atom
! Space-group type: I-42d
! ΔE_f (raw): 0.17 eV per atom
! DOS at the Fermi energy: 1.44 states/eV/f.u.
! Calculated total energy: -52.067 eV/cell
&SYSTEM
  ibrav = 0, nat = 8, ntyp = 3
/
ATOMIC_SPECIES
C 12.01 C.upf
Pt 195.08 Pt.upf
Si 28.09 Si.upf
ATOMIC_POSITIONS crystal
C 0.5000 0.5000 0.0000
C 0.2500 0.7500 0.5000
Pt 0.1878 0.6250 0.2500
Pt 0.8750 0.8122 0.7500
Pt 0.3750 0.4378 0.7500
Pt 0.5622 0.1250 0.2500
Si 0.0000 0.0000 0.0000
Si 0.7500 0.2500 0.5000
CELL_PARAMETERS angstrom
-3.4204 1.2576 -3.3638
-3.5485 -1.8974 2.8989
-4.0681 4.3402 2.1032

=====

(10)
! AsRhSe2 (GGA-PBE, optimized geometry); values from VASP
! Space-group type: R-3m
! ΔE_f (raw): 0.29 eV per atom
! DOS at the Fermi energy: 2.86 states/eV/f.u.
! Calculated total energy: -17.818 eV/cell
&SYSTEM
  ibrav = 0, nat = 4, ntyp = 3
/
ATOMIC_SPECIES
Rh 102.91 Rh.upf
Se 78.96 Se.upf
As 74.92 As.upf
ATOMIC_POSITIONS crystal
Rh 0.0000 0.0000 0.0000
Se 0.0644 0.0644 0.0644
Se 0.9356 0.9356 0.9356
As 0.5000 0.5000 0.5000
CELL_PARAMETERS angstrom
8.9175 7.4830 4.6576
9.7136 5.1400 6.0364
10.6678 5.6342 3.4154

=====

(11)
! BaTaOs2 (GGA-PBE, optimized geometry); values from VASP
! Energy relative to the lowest polymorph listed for this composition: 640 meV per atom
! ΔH_f (0 K): 993 meV per atom
! Space-group type: R3m
! DOS at the Fermi energy: 5.39 states/eV/f.u.
! Calculated total energy: -32.261 eV/cell
&SYSTEM
  ibrav = 0, nat = 4, ntyp = 3
/
ATOMIC_SPECIES
Ta 180.95 Ta.upf
Ba 137.33 Ba.upf
Os 190.23 Os.upf
ATOMIC_POSITIONS crystal
Ta 0.5154 0.5154 0.5154
Ba 0.7452 0.7452 0.7452
Os 0.9848 0.9848 0.9848
Os 0.2546 0.2546 0.2546
CELL_PARAMETERS angstrom
-7.1406 -7.6469 1.9367
-4.7021 -9.3113 2.0984
-5.6421 -7.8307 4.4789

=====

(12)
! SrAcSnGe (GGA-PBE, optimized geometry); values from VASP
! Energy relative to the lowest polymorph listed for this composition: 0 meV per atom
! ΔH_f (0 K): -643 meV per atom
! Space-group type: Amm2
! DOS at the Fermi energy: 2.81 states/eV/f.u.
! Calculated total energy: -16.984 eV/cell
&SYSTEM
  ibrav = 0, nat = 4, ntyp = 4
/
ATOMIC_SPECIES
Sr 87.62 Sr.upf
Sn 118.71 Sn.upf
Ac 227.00 Ac.upf
Ge 72.64 Ge.upf
ATOMIC_POSITIONS crystal
Sr 0.1365 0.0000 0.2730
Sn 0.4270 0.0000 0.8540
Ac 0.8557 0.5000 0.7114
Ge 0.5808 0.5000 0.1615
CELL_PARAMETERS angstrom
4.9400 0.0000 0.0000
0.0000 4.3970 0.0000
-2.4700 0.0000 5.9978